Entry 1:
Crystalline Sr2ErHg at its relaxed geometry. Source: the Alexandria database, functional PBE-GGA.

Geometry as POSCAR:
```
Sr2ErHg
1.0
3.838 0.000 0.000
-1.919 3.324 0.000
0.000 0.000 36.316
Sr Er Hg
6 3 3
direct
0.000 0.000 0.098
0.000 0.000 0.902
0.333 0.667 0.569
0.333 0.667 0.765
0.667 0.333 0.235
0.667 0.333 0.431
0.000 0.000 0.000
0.333 0.667 0.667
0.667 0.333 0.333
0.000 0.000 0.500
0.333 0.667 0.167
0.667 0.333 0.833
```

Output
ρ ... 5.84 g cm⁻³
E_tot ... -1.913 eV/atom
DOS at the Fermi energy ... 5.027 states/eV/f.u.
Energy of formation from the pure elements ... 0.144 eV/atom
Crystal system ... trigonal
Space group ... R-3m (166)

***

Entry 2:
Crystalline LiSnAsSe2 at its relaxed geometry. Source: the Alexandria database, functional PBE-GGA.

Geometry as POSCAR:
```
LiSnAsSe2
1.0
5.023 0.000 0.000
0.000 5.023 0.000
0.000 0.000 4.411
Li Sn As Se
1 1 1 2
direct
0.000 0.000 0.000
0.500 0.500 0.500
0.000 0.000 0.500
0.000 0.500 0.000
0.500 0.000 0.000
```

Output
ρ ... 5.35 g cm⁻³
E_tot ... -3.355 eV/atom
DOS at the Fermi energy ... 3.908 states/eV/f.u.
Energy relative to the lowest polymorph listed for this composition ... 0 meV per atom
Crystal system ... tetragonal
Space group ... P4/mmm (123)
Formation energy from raw total energies ... 0.76 eV per formula unit

***

Entry 3:
Crystalline SmBiO4 at its relaxed geometry. Source: the Alexandria database, functional PBE-GGA.

Geometry as POSCAR:
```
SmBiO4
1.0
3.678 -5.703 0.000
3.678 5.703 0.000
-3.445 0.000 4.093
Sm Bi O
2 2 8
direct
0.137 0.863 0.750
0.863 0.137 0.250
0.401 0.599 0.250
0.599 0.401 0.750
0.113 0.548 0.333
0.231 0.285 0.765
0.285 0.231 0.265
0.452 0.887 0.167
0.548 0.113 0.833
0.715 0.769 0.735
0.769 0.715 0.235
0.887 0.452 0.667
```

Output
ρ ... 8.19 g cm⁻³
E_tot ... -6.707 eV/atom
Crystal system ... monoclinic
Space group ... C2/c (15)
Formation energy from raw total energies ... -11.81 eV per formula unit

***

Entry 4:
Crystalline Hf2ScGeF at its relaxed geometry. Source: the Alexandria database, functional PBE-GGA.

Geometry as POSCAR:
```
Hf2ScGeF
1.0
5.427 0.000 0.000
0.000 5.427 0.000
0.000 0.000 3.806
Hf Sc Ge F
2 1 1 1
direct
0.000 0.500 0.000
0.500 0.000 0.000
0.000 0.000 0.000
0.500 0.500 0.500
0.000 0.000 0.500
```

Output
ρ ... 7.31 g cm⁻³
E_tot ... -6.493 eV/atom
DOS at the Fermi energy ... 2.730 states/eV/f.u.
Energy relative to the lowest polymorph listed for this composition ... 0 meV per atom
Crystal system ... tetragonal
Space group ... P4/mmm (123)
Formation energy from raw total energies ... 0.26 eV per formula unit